First-principles (GGA-PBE) data for a relaxed structure of PmSm2NpSb4, as listed in Alexandria via LeMat-Bulk.

a b c (Å): 7.722 4.458 7.723
angles (deg): 90.00 109.35 90.00
Atoms (fractional coordinates):
Pm 0.000 0.000 0.000
Sm 0.500 0.000 0.500
Sm 0.500 0.500 0.000
Np 0.000 0.500 0.500
Sb 0.247 0.000 0.746
Sb 0.249 0.500 0.253
Sb 0.751 0.500 0.747
Sb 0.753 0.000 0.254

Output
Space-group type ... P2/m (10)
Formation energy (no corrections) ... -0.93 eV per atom

---

First-principles (GGA-PBE) data for a relaxed structure of LiPaHg2, as listed in Alexandria via LeMat-Bulk.

a b c (Å): 5.063 5.063 5.063
angles (deg): 60.00 60.00 60.00
Atoms (fractional coordinates):
Li 0.000 0.000 0.000
Pa 0.500 0.500 0.500
Hg 0.250 0.250 0.250
Hg 0.750 0.750 0.750

Output
Formation energy from the elements ... -1 kJ/mol of atoms
Space-group type ... Fm-3m (225)
Relative energy among the computed polymorphs ... 0.096 eV per atom

---

First-principles (GGA-PBE) data for a relaxed structure of Nb6RuRh, as listed in Alexandria via LeMat-Bulk.

a b c (Å): 5.181 5.181 5.181
angles (deg): 90.00 90.00 90.00
Atoms (fractional coordinates):
Nb 0.000 0.251 0.500
Nb 0.000 0.749 0.500
Nb 0.251 0.500 0.000
Nb 0.500 0.000 0.251
Nb 0.500 0.000 0.749
Nb 0.749 0.500 0.000
Ru 0.500 0.500 0.500
Rh 0.000 0.000 0.000

Output
Formation energy from the elements ... -23 kJ/mol of atoms
Space-group type ... Pm-3 (200)
Relative energy among the computed polymorphs ... 0.000 eV per atom

---

First-principles (GGA-PBE) data for a relaxed structure of P2PtO7, as listed in Alexandria via LeMat-Bulk.

a b c (Å): 7.207 8.051 9.492
angles (deg): 90.00 112.84 90.00
Atoms (fractional coordinates):
P 0.069 0.181 0.321
P 0.069 0.319 0.821
P 0.342 0.748 0.206
P 0.342 0.752 0.706
P 0.658 0.248 0.294
P 0.658 0.252 0.794
P 0.931 0.681 0.179
P 0.931 0.819 0.679
Pt 0.000 0.000 0.000
Pt 0.000 0.500 0.500
Pt 0.500 0.000 0.500
Pt 0.500 0.500 0.000
O 0.060 0.186 0.156
O 0.060 0.314 0.656
O 0.123 0.140 0.881
O 0.123 0.360 0.381
O 0.148 0.633 0.179
O 0.148 0.867 0.679
O 0.200 0.042 0.423
O 0.200 0.458 0.923
O 0.277 0.601 0.598
O 0.277 0.899 0.098
O 0.438 0.712 0.878
O 0.438 0.788 0.378
O 0.496 0.638 0.176
O 0.496 0.862 0.676
O 0.504 0.138 0.324
O 0.504 0.362 0.824
O 0.562 0.212 0.622
O 0.562 0.288 0.122
O 0.723 0.101 0.902
O 0.723 0.399 0.402
O 0.800 0.542 0.077
O 0.800 0.958 0.577
O 0.852 0.133 0.321
O 0.852 0.367 0.821
O 0.877 0.640 0.619
O 0.877 0.860 0.119
O 0.940 0.686 0.344
O 0.940 0.814 0.844

Output
Space-group type ... P2_1/c (14)
Formation energy (no corrections) ... -1.59 eV per atom

---

First-principles (GGA-PBE) data for a relaxed structure of RbSbAsPd2, as listed in Alexandria via LeMat-Bulk.

a b c (Å): 7.985 4.095 8.033
angles (deg): 90.00 92.86 90.00
Atoms (fractional coordinates):
Rb 0.244 0.250 0.495
Rb 0.756 0.750 0.505
Sb 0.426 0.750 0.148
Sb 0.574 0.250 0.852
As 0.101 0.750 0.818
As 0.899 0.250 0.182
Pd 0.072 0.750 0.133
Pd 0.270 0.250 0.992
Pd 0.730 0.750 0.008
Pd 0.928 0.250 0.867

Output
Space-group type ... P2_1/m (11)
Formation energy (no corrections) ... -0.39 eV per atom

---

First-principles (GGA-PBE) data for a relaxed structure of AgAs2PtC, as listed in Alexandria via LeMat-Bulk.

a b c (Å): 5.086 5.086 3.767
angles (deg): 90.00 90.00 90.00
Atoms (fractional coordinates):
Ag 0.000 0.000 0.000
As 0.000 0.500 0.000
As 0.500 0.000 0.000
Pt 0.500 0.500 0.500
C 0.000 0.000 0.500

Output
Formation energy from the elements ... 159 kJ/mol of atoms
Space-group type ... P4/mmm (123)

---

First-principles (GGA-PBE) data for a relaxed structure of Ac3Ag3Hg2, as listed in Alexandria via LeMat-Bulk.

a b c (Å): 6.380 6.380 16.113
angles (deg): 90.00 90.00 134.48
Atoms (fractional coordinates):
Ac 0.094 0.906 0.601
Ac 0.094 0.906 0.899
Ac 0.367 0.633 0.750
Ac 0.633 0.367 0.250
Ac 0.906 0.094 0.101
Ac 0.906 0.094 0.399
Ag 0.352 0.648 0.250
Ag 0.395 0.605 0.543
Ag 0.395 0.605 0.957
Ag 0.605 0.395 0.043
Ag 0.605 0.395 0.457
Ag 0.648 0.352 0.750
Hg 0.202 0.798 0.103
Hg 0.202 0.798 0.397
Hg 0.798 0.202 0.603
Hg 0.798 0.202 0.897

Output
Formation energy from the elements ... -34 kJ/mol of atoms
Space-group type ... Cmcm (63)

---

First-principles (GGA-PBE) data for a relaxed structure of Zn2Tc2Ru, as listed in Alexandria via LeMat-Bulk.

a b c (Å): 6.811 6.811 6.811
angles (deg): 150.26 150.26 42.56
Atoms (fractional coordinates):
Zn 0.092 0.092 0.000
Zn 0.908 0.908 0.000
Tc 0.250 0.750 0.500
Tc 0.750 0.250 0.500
Ru 0.500 0.500 0.000

Output
Formation energy from the elements ... 55 kJ/mol of atoms
Space-group type ... I4/mmm (139)
Relative energy among the computed polymorphs ... 0.136 eV per atom

---

First-principles (GGA-PBE) data for a relaxed structure of TlAgAuBr5, as listed in Alexandria via LeMat-Bulk.

a b c (Å): 7.733 7.733 10.683
angles (deg): 103.71 103.71 109.84
Atoms (fractional coordinates):
Tl 0.188 0.812 0.750
Tl 0.812 0.188 0.250
Ag 0.196 0.804 0.250
Ag 0.804 0.196 0.750
Au 0.500 0.500 0.000
Au 0.500 0.500 0.500
Br 0.152 0.237 0.920
Br 0.207 0.632 0.432
Br 0.237 0.152 0.420
Br 0.368 0.793 0.068
Br 0.455 0.545 0.750
Br 0.545 0.455 0.250
Br 0.632 0.207 0.932
Br 0.763 0.848 0.580
Br 0.793 0.368 0.568
Br 0.848 0.763 0.080

Output
Space-group type ... C2/c (15)
Formation energy (no corrections) ... -0.31 eV per atom

---

First-principles (GGA-PBE) data for a relaxed structure of CeSbF6, as listed in Alexandria via LeMat-Bulk.

a b c (Å): 7.818 7.818 9.028
angles (deg): 125.14 125.14 70.78
Atoms (fractional coordinates):
Ce 0.000 0.500 0.000
Ce 0.500 0.000 0.000
Sb 0.000 0.500 0.500
Sb 0.500 0.000 0.500
F 0.005 0.483 0.250
F 0.233 0.754 0.737
F 0.246 0.767 0.263
F 0.258 0.258 0.517
F 0.263 0.263 0.000
F 0.483 0.005 0.250
F 0.517 0.995 0.750
F 0.737 0.737 0.000
F 0.742 0.742 0.483
F 0.754 0.233 0.737
F 0.767 0.246 0.263
F 0.995 0.517 0.750

Output
Space-group type ... C2/m (12)
Formation energy (no corrections) ... -3.12 eV per atom

---

First-principles (GGA-PBE) data for a relaxed structure of MnAgN, as listed in Alexandria via LeMat-Bulk.

a b c (Å): 3.085 3.085 4.854
angles (deg): 90.00 90.00 120.00
Atoms (fractional coordinates):
Mn 0.000 0.000 0.000
Ag 0.667 0.333 0.500
N 0.667 0.333 0.000

Output
Space-group type ... P-6m2 (187)
Formation energy (no corrections) ... 0.16 eV per atom
Relative energy among the computed polymorphs ... 0.066 eV per atom

---

First-principles (GGA-PBE) data for a relaxed structure of Nb2AlHRu, as listed in Alexandria via LeMat-Bulk.

a b c (Å): 4.112 4.112 4.003
angles (deg): 90.00 90.00 90.00
Atoms (fractional coordinates):
Nb 0.000 0.500 0.000
Nb 0.500 0.000 0.000
Al 0.000 0.000 0.500
H 0.500 0.500 0.000
Ru 0.500 0.500 0.500

Output
Space-group type ... P4/mmm (123)
Relative energy among the computed polymorphs ... 0.000 eV per atom

---

Short version: raw total energy = -6.379, -3.018, -9.872, -6.747, -4.415, -3.838, -3.034, -5.940, -2.422, -5.784, -6.624, -7.544 eV/atom, in the order given.
Short version: mass density = 7.744, 11.567, 9.093, 4.829, 6.265, 7.922, 9.978, 9.160, 5.513, 3.383, 7.339, 7.724 g cm⁻³, in the order given.
Short version: M_tot = 3.9, 0.5, 0.0, 0.0, 0.0, 0.0, 0.0, 0.7, 0.0, 2.0, 0.0, 0.0 μB/cell, in the order given.